DFT (GGA-PBE) results for crystalline LaBrN2F at its relaxed geometry.

Properties
E (eV per atom): -4.8961
Formation energy (no corrections) (eV per atom): 0.1284
Crystal system: tetragonal
Total magnetization (μB/f.u.): 0.0
Polymorph energy (0 for the lowest one) (eV per atom): 0.1918

Cell lengths 4.1106, 4.1106, 4.4062 Å; angles 90.00, 90.00, 90.00 degrees
Last column: nearest neighbours and their distance in Å.
Fractional positions:
1 N 0.0000 0.5000 0.0000  2 Br 2.06
2 N 0.5000 0.0000 0.0000  2 Br 2.06
3 F 0.0000 0.0000 0.5000  2 Br 2.20
4 Br 0.0000 0.0000 0.0000  4 N 2.06, 2 F 2.20
5 La 0.5000 0.5000 0.5000  4 F 2.91, 8 N 3.01